*i*
An optimized crystal structure of Ti6VGa5, computed with PBE-GGA.

abc: 4.6791 5.8439 6.9137
angles: 90.00 96.82 90.00
With the nearest neighbours (Å) after each atom.
Atoms (fractional coordinates):
V  0.0000  0.0000  0.0000  8 Ti 2.73-2.77, 4 Ga 2.88-2.92
Ga  0.6581  0.5000  0.3395  8 Ti 2.75-2.78, 4 Ga 2.81-2.99
Ga  0.3382  0.0000  0.6774  8 Ti 2.71-2.85, 1 V 2.88, 2 Ga 2.92
Ga  0.0000  0.5000  0.0000  8 Ti 2.74-2.75, 2 V 2.92, 2 Ga 2.99
Ga  0.6618  0.0000  0.3226  8 Ti 2.71-2.85, 1 V 2.88, 2 Ga 2.92
Ga  0.3419  0.5000  0.6605  8 Ti 2.75-2.78, 4 Ga 2.81-2.99
Ti  0.8457  0.7514  0.6698  7 Ga 2.72-2.85, 1 V 2.73, 4 Ti 2.90-2.95
Ti  0.8457  0.2486  0.6698  7 Ga 2.72-2.85, 1 V 2.73, 4 Ti 2.90-2.95
Ti  0.5000  0.2529  0.0000  6 Ga 2.71-2.78, 2 V 2.77, 4 Ti 2.89-2.96
Ti  0.5000  0.7471  0.0000  6 Ga 2.71-2.78, 2 V 2.77, 4 Ti 2.89-2.96
Ti  0.1543  0.7514  0.3302  7 Ga 2.72-2.85, 1 V 2.73, 4 Ti 2.90-2.95
Ti  0.1543  0.2486  0.3302  7 Ga 2.72-2.85, 1 V 2.73, 4 Ti 2.90-2.95

Fermi-level density of states	0.91	states/eV per atom
total magnetic moment	0.00	μB per formula unit

*ii*
An optimized crystal structure of Ti6VGa5, computed with PBE-GGA.

abc: 5.0778 9.0247 6.2452
angles: 43.74 82.84 80.07
With the nearest neighbours (Å) after each atom.
Atoms (fractional coordinates):
Ti  0.7493  0.0799  0.3434  5 Ga 2.74-2.80, 1 V 2.82, 6 Ti 2.84-2.99
Ti  0.2507  0.5768  0.3434  5 Ga 2.74-2.80, 1 V 2.82, 6 Ti 2.84-2.99
Ti  0.2621  0.2497  0.0000  5 Ga 2.73-2.86, 1 V 2.81, 6 Ti 2.84-2.99
Ti  0.7379  0.7503  0.0000  5 Ga 2.73-2.86, 1 V 2.81, 6 Ti 2.84-2.99
Ti  0.7493  0.4232  0.6566  5 Ga 2.74-2.80, 1 V 2.82, 6 Ti 2.84-2.99
Ti  0.2507  0.9201  0.6566  5 Ga 2.74-2.80, 1 V 2.82, 6 Ti 2.84-2.99
V  0.0000  0.0000  0.0000  6 Ga 2.80-2.88, 6 Ti 2.81-2.82
Ga  0.5000  0.1568  0.6864  4 Ga 2.71-2.96, 6 Ti 2.73-2.80, 2 V 2.88
Ga  0.0000  0.3238  0.3524  6 Ti 2.74-2.86, 1 V 2.80, 5 Ga 2.92-3.04
Ga  0.5000  0.5000  0.0000  6 Ti 2.74-2.80, 6 Ga 2.96
Ga  0.0000  0.6762  0.6476  6 Ti 2.74-2.86, 1 V 2.80, 5 Ga 2.92-3.04
Ga  0.5000  0.8432  0.3136  4 Ga 2.71-2.96, 6 Ti 2.73-2.80, 2 V 2.88

Fermi-level density of states	0.99	states/eV per atom
total magnetic moment	0.00	μB per formula unit

Relative energies, meV/atom: *i* 0; *ii* 172.

*i*
An optimized crystal structure of TiV4Ga, computed with PBE-GGA.

abc: 4.3958 4.3194 5.0439
angles: 90.00 115.83 90.00
With the nearest neighbours (Å) after each atom.
Atoms (fractional coordinates):
Ti  0.5000  0.5000  0.0000  10 V 2.71-2.83
V  0.3199  0.0000  0.6399  4 V 2.47-2.54, 2 Ti 2.71, 2 Ga 2.74
V  0.6801  0.0000  0.3601  4 V 2.47-2.54, 2 Ti 2.71, 2 Ga 2.74
V  0.8122  0.5000  0.6244  4 V 2.47, 2 Ga 2.75
V  0.1878  0.5000  0.3756  4 V 2.47, 2 Ga 2.75
Ga  0.0000  0.0000  0.0000  10 V 2.74-2.90

Fermi-level density of states	0.87	states/eV per atom
total magnetic moment	0.00	μB per formula unit

*ii*
An optimized crystal structure of TiV4Ga, computed with PBE-GGA.

abc: 4.8539 7.3026 5.1347
angles: 90.00 90.00 105.99
With the nearest neighbours (Å) after each atom.
Atoms (fractional coordinates):
Ti  0.6971  0.8228  0.7500  5 V 2.55-2.67, 1 Ga 2.56
Ti  0.3029  0.1772  0.2500  5 V 2.55-2.67, 1 Ga 2.56
V  0.3376  0.4096  0.7500  1 V 2.30, 1 Ga 2.54
V  0.6624  0.5904  0.2500  1 V 2.30, 1 Ga 2.54
V  0.2019  0.0827  0.7500  3 V 2.30-2.51
V  0.7981  0.9173  0.2500  3 V 2.30-2.51
V  0.2479  0.8050  0.0181  2 V 2.38-2.51, 1 Ti 2.55, 1 Ga 2.61
V  0.7521  0.1950  0.5181  2 V 2.38-2.51, 1 Ti 2.55, 1 Ga 2.61
V  0.2479  0.8050  0.4819  2 V 2.38-2.51, 1 Ti 2.55, 1 Ga 2.61
V  0.7521  0.1950  0.9819  2 V 2.38-2.51, 1 Ti 2.55, 1 Ga 2.61
Ga  0.8816  0.5265  0.7500  6 V 2.54-2.68, 1 Ti 2.56
Ga  0.1184  0.4735  0.2500  6 V 2.54-2.68, 1 Ti 2.56

Fermi-level density of states	1.12	states/eV per atom
total magnetic moment	0.00	μB per formula unit

Relative energies, meV/atom: *i* 0; *ii* 138.